A relaxed structure of LaY2TaO8. Source: Alexandria, functional PBE.

Summary:
- Energy: -8.6745 eV/atom
- V: 15.31 Å³/atom
- Total magnetic moment: 0.16 μB/atom
- D(E_F): 0.77 states/eV per atom

Cell lengths 5.0721, 7.1306, 5.0805 Å; angles 90.00, 90.48, 90.00 degrees
Space group P2/m (No. 10)
Inequivalent atoms, fractional coordinates:
La (0.0000, 0.0000, 0.0000) x1
Y (0.5000, 0.2590, 0.5000) x2
Ta (0.0000, 0.5000, 0.0000) x1
O (0.1862, 0.2922, 0.8127) x4
O (0.2826, 0.5000, 0.2812) x2
O (0.3198, 0.0000, 0.3183) x2